(1)
A plane-wave DFT calculation with PBE was carried out for a geometry-optimized GaBi structure.

a = 3.5120 Å, b = 4.6205 Å, c = 6.6312 Å
α = 90.00°, β = 90.00°, γ = 90.00°
Space group Pmmn (No. 59, origin choice 2)
Inequivalent atoms, fractional coordinates:
1 Ga 0.2500 0.2500 0.1430
2 Bi 0.2500 0.2500 0.6981

Output
Final energy = -3.374 eV/atom

---

(2)
A plane-wave DFT calculation with PBE was carried out for a geometry-optimized Ga2Bi3 structure.

a = 8.0821 Å, b = 8.0821 Å, c = 14.8447 Å
α = 90.00°, β = 90.00°, γ = 120.00°
Space group R-3c (No. 167, hexagonal axes)
Inequivalent atoms, fractional coordinates:
1 Ga 0.0000 0.0000 0.0901
2 Bi 0.0000 0.2665 0.2500

Output
Final energy = -3.413 eV/atom

---

(3)
A plane-wave DFT calculation with PBE was carried out for a geometry-optimized GaBi structure.

a = 7.9605 Å, b = 7.9605 Å, c = 7.9605 Å
α = 90.00°, β = 90.00°, γ = 90.00°
Space group Pm-3n (No. 223)
Inequivalent atoms, fractional coordinates:
1 Ga 0.0000 0.2500 0.5000
2 Bi 0.0000 0.5000 0.2500

Output
Final energy = -3.311 eV/atom

---

(4)
A plane-wave DFT calculation with PBE was carried out for a geometry-optimized Ga2Bi structure.

a = 8.2485 Å, b = 8.2485 Å, c = 8.2485 Å
α = 90.00°, β = 90.00°, γ = 90.00°
Space group Fd-3m (No. 227, origin choice 2)
Inequivalent atoms, fractional coordinates:
1 Ga 0.0000 0.0000 0.0000
2 Bi 0.1250 0.1250 0.6250

Output
Final energy = -3.219 eV/atom

---

(5)
A plane-wave DFT calculation with PBE was carried out for a geometry-optimized Ga3Bi structure.

a = 3.3493 Å, b = 3.3493 Å, c = 29.6123 Å
α = 90.00°, β = 90.00°, γ = 120.00°
Space group R-3m (No. 166, hexagonal axes)
Inequivalent atoms, fractional coordinates:
1 Ga 0.0000 0.0000 0.0000
2 Ga 0.0000 0.0000 0.3989
3 Bi 0.0000 0.0000 0.5000

Output
Final energy = -3.147 eV/atom

---

(6)
A plane-wave DFT calculation with PBE was carried out for a geometry-optimized GaBi2 structure.

a = 9.2915 Å, b = 9.2915 Å, c = 9.2915 Å
α = 90.00°, β = 90.00°, γ = 90.00°
Space group Fd-3m (No. 227, origin choice 2)
Inequivalent atoms, fractional coordinates:
1 Ga 0.1250 0.1250 0.1250
2 Bi 0.0000 0.0000 0.5000

Output
Final energy = -3.318 eV/atom

---

> Among the records above, which one has the highest final energy?

Ga3Bi

---

Repeat the second record exactly.
A plane-wave DFT calculation with PBE was carried out for a geometry-optimized Ga2Bi3 structure.

a = 8.0821 Å, b = 8.0821 Å, c = 14.8447 Å
α = 90.00°, β = 90.00°, γ = 120.00°
Space group R-3c (No. 167, hexagonal axes)
Inequivalent atoms, fractional coordinates:
1 Ga 0.0000 0.0000 0.0901
2 Bi 0.0000 0.2665 0.2500

Output
Final energy = -3.413 eV/atom

---

> The lowest final energy belongs to which entry?

Ga2Bi3